(1)
A plane-wave DFT calculation with PBE was carried out for a relaxed structure of MgCd2Ag.

Results
**Energy above the most stable polymorph in this dataset**: 31 meV/atom
**Calculated formation energy**: -0.074 eV/atom

Cell: 3.427 4.857 9.717 Å, 90.00 90.00 90.00°
Space group Imm2 (No. 44)
One atom of each set of equivalent atoms:
Mg 0.000 0.000 0.000 [2 per cell]
Cd 0.000 0.000 0.481 [2 per cell]
Cd 0.000 0.500 0.239 [2 per cell]
Ag 0.000 0.500 0.737 [2 per cell]

(2)
A plane-wave DFT calculation with PBE was carried out for a relaxed structure of LiThPb2.

Results
**Energy above the most stable polymorph in this dataset**: 0 meV/atom
**Calculated formation energy**: -0.269 eV/atom

Cell: 4.927 4.927 4.515 Å, 90.00 90.00 90.00°
Space group P4/mmm (No. 123)
One atom of each set of equivalent atoms:
Li 0.000 0.000 0.000 [1 per cell]
Th 0.500 0.500 0.000 [1 per cell]
Pb 0.000 0.500 0.500 [2 per cell]

(3)
A plane-wave DFT calculation with PBE was carried out for a relaxed structure of Li3Cd4In4.

Results
**Energy above the most stable polymorph in this dataset**: 3 meV/atom
**Calculated formation energy**: -0.139 eV/atom

Cell: 3.382 5.209 14.648 Å, 84.77 85.77 71.91°
Space group P-1 (No. 2)
One atom of each set of equivalent atoms:
Li 0.000 0.000 0.000 [1 per cell]
Li 0.276 0.688 0.741 [2 per cell]
Cd 0.033 0.250 0.654 [2 per cell]
Cd 0.242 0.433 0.086 [2 per cell]
In 0.193 0.203 0.436 [2 per cell]
In 0.482 0.874 0.172 [2 per cell]

(4)
A plane-wave DFT calculation with PBE was carried out for a relaxed structure of Nd4Ni3Pd.

Results
**Calculated formation energy**: -0.434 eV/atom

Cell: 3.848 4.448 10.615 Å, 90.00 90.00 90.00°
Space group Pmm2 (No. 25)
One atom of each set of equivalent atoms:
Nd 0.000 0.000 0.000 [1 per cell]
Nd 0.000 0.500 0.268 [1 per cell]
Nd 0.500 0.000 0.486 [1 per cell]
Nd 0.500 0.500 0.770 [1 per cell]
Ni 0.000 0.500 0.549 [1 per cell]
Ni 0.500 0.000 0.203 [1 per cell]
Ni 0.500 0.500 0.060 [1 per cell]
Pd 0.000 0.000 0.708 [1 per cell]

| no. | DOS(E_F) (states/eV per cell) | calculated volume (Å³/cell) | mass density (kg/m³) |
| --- | --- | --- | --- |
| 1 | 1.88 | 162 | 7329 |
| 2 | 2.82 | 110 | 9898 |
| 3 | 3.28 | 244 | 6328 |
| 4 | 4.58 | 182 | 7856 |